Record 1
First-principles (PBE-GGA) data for a relaxed structure of LiCrBr2, as listed in the Alexandria database.

Computed properties:
**Energy above the lowest structure with this stoichiometry**: 124 meV/atom
**Electronic total energy**: -4.28 eV per atom
**E_form (uncorrected)**: -0.56 eV/atom

Unit cell a=4.1190 b=4.1190 c=7.4624 alpha=90.00 beta=90.00 gamma=124.06
Last column: magnetic moment on the atom in μB.
Positions (direct):
Br  0.0000  0.0000  0.9935  0.02
Br  0.0000  0.0000  0.5065  0.02
Cr  0.5000  0.5000  0.2500  4.24
Li  0.5000  0.5000  0.7500  0.01

=====

Record 2
First-principles (PBE-GGA) data for a relaxed structure of LiCrBr2, as listed in the Alexandria database.

Computed properties:
**Energy above the lowest structure with this stoichiometry**: 48 meV/atom
**Electronic total energy**: -4.35 eV per atom
**E_form (uncorrected)**: -0.63 eV/atom

Unit cell a=7.1641 b=7.1641 c=3.8816 alpha=90.26 beta=90.26 gamma=31.28
Last column: magnetic moment on the atom in μB.
Positions (direct):
Br  0.9857  0.9857  0.8772  0.03
Br  0.2622  0.2622  0.3730  0.02
Cr  0.4615  0.4615  0.3767  4.24
Li  0.7906  0.7906  0.8732  0.00

=====

Record 3
First-principles (PBE-GGA) data for a relaxed structure of LiCrBr2, as listed in the Alexandria database.

Computed properties:
**Energy above the lowest structure with this stoichiometry**: 237 meV/atom
**Electronic total energy**: -4.16 eV per atom
**E_form (uncorrected)**: -0.44 eV/atom

Unit cell a=4.9728 b=4.9728 c=4.9728 alpha=60.00 beta=60.00 gamma=60.00
Last column: magnetic moment on the atom in μB.
Positions (direct):
Cr  0.5000  0.5000  0.5000  4.27
Br  0.2500  0.2500  0.2500  0.02
Br  0.7500  0.7500  0.7500  0.02
Li  0.0000  0.0000  0.0000  0.02

=====

Record 4
First-principles (PBE-GGA) data for a relaxed structure of LiCr2Br, as listed in the Alexandria database.

Computed properties:
**Energy above the lowest structure with this stoichiometry**: 476 meV/atom
**Electronic total energy**: -5.22 eV per atom
**E_form (uncorrected)**: 0.49 eV/atom

Unit cell a=5.2091 b=3.0607 c=4.1160 alpha=93.33 beta=90.00 gamma=90.00
Positions (direct):
Br  0.5000  0.7500  0.7500
Cr  0.0000  0.9502  0.0744
Cr  0.0000  0.5498  0.4256
Li  0.5000  0.2500  0.2500

=====

Record 5
First-principles (PBE-GGA) data for a relaxed structure of LiCrBr2, as listed in the Alexandria database.

Computed properties:
**Energy above the lowest structure with this stoichiometry**: 109 meV/atom
**Electronic total energy**: -4.29 eV per atom
**E_form (uncorrected)**: -0.57 eV/atom

Unit cell a=3.8619 b=7.5850 c=3.7640 alpha=90.00 beta=90.00 gamma=90.00
Last column: magnetic moment on the atom in μB.
Positions (direct):
Br  0.0000  0.0000  0.0000  0.02
Br  0.5000  0.5000  0.0000  0.02
Cr  0.5000  0.0000  0.5000  4.25
Li  0.0000  0.5000  0.5000  0.00

=====

Record 6
First-principles (PBE-GGA) data for a relaxed structure of LiCrBr2, as listed in the Alexandria database.

Computed properties:
**Energy above the lowest structure with this stoichiometry**: 126 meV/atom
**Electronic total energy**: -4.27 eV per atom
**E_form (uncorrected)**: -0.55 eV/atom

Unit cell a=3.7769 b=4.1860 c=6.8754 alpha=96.63 beta=90.00 gamma=90.00
Last column: magnetic moment on the atom in μB.
Positions (direct):
Br  0.0000  0.0024  0.9925  0.02
Br  0.0000  0.4976  0.5075  0.02
Cr  0.5000  0.2500  0.2500  4.24
Li  0.5000  0.7500  0.7500  0.01

=====

Record 7
First-principles (PBE-GGA) data for a relaxed structure of LiCr2Br, as listed in the Alexandria database.

Computed properties:
**Energy above the lowest structure with this stoichiometry**: 597 meV/atom
**Electronic total energy**: -5.10 eV per atom
**E_form (uncorrected)**: 0.61 eV/atom

Unit cell a=4.7325 b=5.9595 c=3.2672 alpha=74.01 beta=89.95 gamma=113.25
Last column: magnetic moment on the atom in μB.
Positions (direct):
Br  0.5000  0.5000  0.0000  0.02
Cr  0.0000  0.0000  0.0000  3.76
Cr  0.5000  0.0000  0.5000  3.75
Li  0.0000  0.5000  0.5000  0.03

=====

Record 8
First-principles (PBE-GGA) data for a relaxed structure of LiCr2Br, as listed in the Alexandria database.

Computed properties:
**Energy above the lowest structure with this stoichiometry**: 608 meV/atom
**Electronic total energy**: -5.09 eV per atom
**E_form (uncorrected)**: 0.62 eV/atom

Unit cell a=6.0450 b=6.0450 c=6.0450 alpha=147.80 beta=147.80 gamma=46.18
Last column: magnetic moment on the atom in μB.
Positions (direct):
Br  0.7500  0.2500  0.5000  0.01
Cr  0.0000  0.0000  0.0000  0.46
Cr  0.5000  0.5000  0.0000  0.46
Li  0.2500  0.7500  0.5000  0.00

=====

Record 9
First-principles (PBE-GGA) data for a relaxed structure of Li3CrBr, as listed in the Alexandria database.

Computed properties:
**Energy above the lowest structure with this stoichiometry**: 369 meV/atom
**Electronic total energy**: -3.00 eV per atom
**E_form (uncorrected)**: 0.41 eV/atom

Unit cell a=5.2503 b=5.2503 c=5.2503 alpha=90.00 beta=90.00 gamma=90.00
Last column: magnetic moment on the atom in μB.
Positions (direct):
Cr  0.0000  0.0000  0.0000  4.27
Br  0.5000  0.5000  0.5000  0.05
Li  0.0000  0.5000  0.0000  0.02
Li  0.0000  0.0000  0.5000  0.01
Li  0.5000  0.0000  0.0000  0.05

=====

Record 10
First-principles (PBE-GGA) data for a relaxed structure of LiCrBr2, as listed in the Alexandria database.

Computed properties:
**Energy above the lowest structure with this stoichiometry**: 110 meV/atom
**Electronic total energy**: -4.29 eV per atom
**E_form (uncorrected)**: -0.57 eV/atom

Unit cell a=8.0584 b=8.0584 c=8.0584 alpha=152.65 beta=152.65 gamma=39.07
Last column: magnetic moment on the atom in μB.
Positions (direct):
Br  0.0000  0.0000  0.0000  0.02
Br  0.2500  0.7500  0.5000  0.02
Cr  0.5000  0.5000  0.0000  4.25
Li  0.7500  0.2500  0.5000  0.00

=====

Record 11
First-principles (PBE-GGA) data for a relaxed structure of LiCr2Br, as listed in the Alexandria database.

Computed properties:
**Energy above the lowest structure with this stoichiometry**: 201 meV/atom
**Electronic total energy**: -5.50 eV per atom
**E_form (uncorrected)**: 0.21 eV/atom

Unit cell a=8.3295 b=8.3295 c=8.3295 alpha=22.51 beta=22.51 gamma=22.51
Last column: magnetic moment on the atom in μB.
Positions (direct):
Br  0.7524  0.7524  0.7524  0.03
Cr  0.9957  0.9957  0.9957  3.16
Cr  0.2628  0.2628  0.2628  -2.92
Li  0.4890  0.4890  0.4890  0.03

=====

Record 12
First-principles (PBE-GGA) data for a relaxed structure of LiCrBr2, as listed in the Alexandria database.

Computed properties:
**Energy above the lowest structure with this stoichiometry**: 31 meV/atom
**Electronic total energy**: -4.37 eV per atom
**E_form (uncorrected)**: -0.65 eV/atom

Unit cell a=5.5423 b=4.1874 c=4.1963 alpha=80.93 beta=90.00 gamma=90.00
Last column: magnetic moment on the atom in μB.
Positions (direct):
Br  0.0000  0.8694  0.8705  0.03
Br  0.5000  0.3941  0.3942  0.02
Cr  0.0000  0.4299  0.4302  4.25
Li  0.5000  0.8066  0.8050  0.00